# Li5Co3O8

A relaxed Li5Co3O8 crystal (PBE with a Hubbard U, Alexandria via LeMat-Bulk).

The space group is P-1 (No. 2) and the conventional cell measures 2.979, 5.004 and 9.683 Å, with angles of 77.42, 86.99 and 88.67 degrees. The asymmetric unit holds Li at (0.000, 0.000, 0.000), Li at (0.000, 0.500, 0.500), Li at (0.480, 0.242, 0.751), Li at (0.500, 0.000, 0.500), Co at (0.018, 0.248, 0.260), Co at (0.500, 0.500, 0.000), O at (0.011, 0.915, 0.359), O at (0.033, 0.593, 0.127), O at (0.454, 0.626, 0.634) and O at (0.475, 0.152, 0.123).

Its total magnetization is 8.0 μB/f.u. The polymorph energy (0 for the lowest one) comes out at 60 meV/atom.